A geometry-optimized LaTb6DyTm2 structure, computed with PBE-GGA.

Results
Total energy (eV/atom): -4.505
Density (g/cm3): 8.13

POSCAR file:
```
LaTb6DyTm2
1.0
4.645 -7.466 0.000
4.645 7.466 0.000
-0.844 0.000 9.386
La Tb Dy Tm
2 12 2 4
Cartesian
4.012 6.915 7.040
4.434 -6.915 2.347
2.024 4.067 6.381
4.010 4.793 0.541
4.857 4.793 4.152
3.036 1.706 8.319
6.000 4.067 7.698
4.988 1.706 5.761
3.458 -1.706 3.626
2.446 -4.067 1.688
5.410 -1.706 1.068
3.588 -4.793 5.234
4.435 -4.793 8.845
6.422 -4.067 3.005
4.434 1.327 2.347
4.012 -1.327 7.040
1.889 0.756 5.193
2.311 -0.756 0.499
6.134 0.756 8.887
6.556 -0.756 4.194
```